Here is an optimized crystal structure of CoCuW2 from Alexandria via LeMat-Bulk. Energies are from GGA-PBEsol.

Cell lengths 2.621, 4.219, 4.776 Å; angles 90.00, 96.68, 90.00 degrees
Atoms (fractional coordinates):
Co1 0.000 0.000 0.000
Cu1 0.007 0.500 0.281
W1 0.397 0.500 0.805
W2 0.590 0.000 0.482

Its space group is Pm (6). The calculation puts the formation energy at 0.17 eV per atom. As for the crystal system: monoclinic. For the energy above the most stable polymorph in this dataset, the calculation gives 0 meV per atom. Its uncorrected energy is -39.0 eV per cell.